DFT (PBE) results for a geometry-optimized Dy2ErAl2Zn2 structure.

Geometry as extended XYZ:
```
7
Lattice="2.2469 1.2973 9.0047 -2.2469 1.2973 9.0047 0.0000 -2.5945 9.0047" Properties=species:S:1:pos:R:3 pbc="T T T"
Dy 0.0000 0.0000 3.4287
Dy 0.0000 0.0000 23.5853
Er 0.0000 0.0000 0.0000
Al 0.0000 0.0000 7.1620
Al 0.0000 0.0000 19.8520
Zn 0.0000 0.0000 10.7040
Zn 0.0000 0.0000 16.3099
```

Summary:
- Space group: R-3m (166)
- Formation energy: -7.1 kcal/mol of atoms